# PBEsol CuPt7, relaxed
data_CuPt7
_cell_length_a 7.761
_cell_length_b 7.761
_cell_length_c 7.761
_cell_angle_alpha 90.00
_cell_angle_beta 90.00
_cell_angle_gamma 90.00
_symmetry_space_group_name_H-M 'F m -3 m'
_symmetry_Int_Tables_number 225
_symmetry_space_group_name_Hall '-F 4 2 3'
loop_
_atom_site_label
_atom_site_type_symbol
_atom_site_fract_x
_atom_site_fract_y
_atom_site_fract_z
_atom_site_occupancy
Cu1 Cu 0.000 0.000 0.000 1
Pt1 Pt 0.000 0.000 0.500 1
Pt2 Pt 0.000 0.250 0.250 1
# - V: 14.61 A^3/atom
# - DFT total energy: -214.555 eV/cell
# - Energy relative to the elements: -0.070 eV/atom